! La6SiRh2Cl3 PBE optimized geometry; values from VASP
&SYSTEM
  ibrav = 0, nat = 12, ntyp = 4
/
ATOMIC_SPECIES
Cl 35.45 Cl.upf
Rh 102.91 Rh.upf
Si 28.09 Si.upf
La 138.91 La.upf
CELL_PARAMETERS angstrom
7.364 0.007 -0.009
-3.674 6.382 -0.009
-1.239 -2.146 7.322
ATOMIC_POSITIONS crystal
Cl 0.158 0.842 0.500
Cl 0.842 0.158 0.500
Rh 0.333 0.667 0.000
Si 0.000 0.000 0.000
La 0.585 0.930 0.782
La 0.274 0.274 0.784
La 0.415 0.070 0.218
Rh 0.667 0.333 0.000
La 0.930 0.585 0.782
Cl 0.500 0.500 0.500
La 0.726 0.726 0.216
La 0.070 0.415 0.218
! **Fermi-level density of states**: 12.7 states/eV/cell
! **Uncorrected energy**: -5.811 eV per atom
! **V**: 344.1 Å³/cell
! **Space-group type**: C2/m, No. 12